BeInIN2 | PBE | relaxed

Calculated values
Formation energy from raw total energies (eV per atom): 1.689
VASP energy (eV/cell): -16.22
Space group: P4/mmm, No. 123
Fermi-level density of states (states/eV/atom): 0.45

```
5
Lattice="4.188 0.000 0.000 0.000 4.188 0.000 0.000 0.000 6.790" Properties=species:S:1:pos:R:3 pbc="T T T"
Be 0.000 0.000 0.000
In 2.094 2.094 3.395
I 2.094 2.094 0.000
N 0.000 2.094 3.395
N 2.094 0.000 3.395
```

---

Tb2PrAl | PBE | relaxed

Calculated values
VASP energy (eV/cell): -18.45
Space group: P4/mmm, No. 123
ΔE_f (eV per atom): -0.168
Fermi-level density of states (states/eV/atom): 1.40

```
4
Lattice="4.843 0.000 0.000 0.000 4.843 0.000 0.000 0.000 4.813" Properties=species:S:1:pos:R:3 pbc="T T T"
Tb 0.000 2.421 0.000
Tb 2.421 0.000 0.000
Pr 0.000 0.000 2.406
Al 2.421 2.421 2.406
```

---

PmTm5Bi6 | PBE | relaxed

Calculated values
VASP energy (eV/cell): -60.05
Space group: C2/m, No. 12
ΔE_f (eV per atom): -0.805
Fermi-level density of states (states/eV/atom): 0.18

```
12
Lattice="3.862 -6.689 0.000 3.862 6.689 0.000 -2.578 0.000 7.280" Properties=species:S:1:pos:R:3 pbc="T T T"
Pm 0.000 0.000 0.000
Tm 2.573 4.500 3.640
Tm 3.862 2.244 0.000
Tm 2.573 0.000 3.640
Tm 3.862 -2.244 0.000
Tm 2.573 -4.500 3.640
Bi 1.310 2.268 1.853
Bi 0.048 0.000 5.450
Bi 1.310 -2.268 1.853
Bi 3.835 2.268 5.427
Bi 5.098 0.000 1.830
Bi 3.835 -2.268 5.427
```

---

DyInSe | PBE | relaxed

Calculated values
Formation energy from raw total energies (eV per atom): -0.994
VASP energy (eV/cell): -27.61
Space group: C2/m, No. 12
Fermi-level density of states (states/eV/atom): 0.10

```
6
Lattice="3.712 -2.142 0.000 3.712 2.142 0.000 -2.556 0.000 12.215" Properties=species:S:1:pos:R:3 pbc="T T T"
Dy -0.041 0.000 3.104
Dy 4.910 0.000 9.111
In -0.041 0.000 6.873
In 4.911 0.000 5.342
Se 2.433 0.000 1.886
Se 2.436 0.000 10.329
```

---

AlPbS2O8 | PBE | relaxed

Calculated values
Formation energy from raw total energies (eV per atom): -1.545
VASP energy (eV/cell): -73.91
Space group: C2/m, No. 12
Fermi-level density of states (states/eV/atom): 0.20

```
12
Lattice="4.076 -2.508 0.000 4.076 2.508 0.000 -0.730 0.000 9.052" Properties=species:S:1:pos:R:3 pbc="T T T"
Al 0.000 0.000 0.000
Pb -0.365 0.000 4.526
S 2.126 0.000 7.516
S 5.296 0.000 1.536
O 2.991 1.206 7.699
O 1.077 0.000 8.558
O 1.591 0.000 6.158
O 4.431 1.206 1.353
O 2.991 -1.206 7.699
O 5.830 0.000 2.894
O 6.345 0.000 0.494
O 4.431 -1.206 1.353
```

---

Cs3TmSb2Te6 | PBE | relaxed

Calculated values
Formation energy from raw total energies (eV per atom): -0.802
VASP energy (eV/cell): -43.75
Space group: C2/m, No. 12

```
12
Lattice="3.958 -6.855 0.000 3.958 6.855 0.000 -2.638 0.000 8.885" Properties=species:S:1:pos:R:3 pbc="T T T"
Cs 0.000 0.000 0.000
Cs 3.958 2.303 0.000
Cs 3.958 -2.303 0.000
Tm 2.639 0.000 4.443
Sb 2.639 4.572 4.443
Sb 2.639 -4.572 4.443
Te 1.332 2.263 2.786
Te 0.026 0.000 6.102
Te 1.332 -2.263 2.786
Te 3.946 2.263 6.099
Te 5.252 0.000 2.783
Te 3.946 -2.263 6.099
```